The following is a DFT calculation (PBE-GGA) of a relaxed structure of Sn7PdRh4.

Cell lengths 13.529, 4.930, 9.633 Å; angles 90.00, 129.48, 90.00 degrees
Space group C2/m (No. 12)
Symmetry-distinct sites (fractional):
Sn (0.000, 0.000, 0.000) (multiplicity 2)
Sn (0.062, 0.500, 0.322) (multiplicity 4)
Sn (0.160, 0.000, 0.599) (multiplicity 4)
Sn (0.219, 0.500, 0.862) (multiplicity 4)
Pd (0.000, 0.500, 0.000) (multiplicity 2)
Rh (0.064, 0.000, 0.774) (multiplicity 4)
Rh (0.209, 0.000, 0.355) (multiplicity 4)

Properties
Its total energy is -131.4 eV for the cell shown. The total moment comes out at 0.000 μB per atom.

=====

The following is a DFT calculation (PBE-GGA) of a relaxed structure of Sn4Pd5Rh2.

Cell lengths 4.212, 8.531, 11.814 Å; angles 90.00, 90.00, 90.00 degrees
Space group Immm (No. 71)
Symmetry-distinct sites (fractional):
Sn (0.000, 0.000, 0.122) (multiplicity 4)
Sn (0.000, 0.217, 0.500) (multiplicity 4)
Pd (0.000, 0.337, 0.290) (multiplicity 8)
Pd (0.000, 0.500, 0.000) (multiplicity 2)
Rh (0.000, 0.000, 0.342) (multiplicity 4)

Properties
Its total energy is -118.2 eV for the cell shown. The total moment comes out at 0.000 μB per atom.

=====

The following is a DFT calculation (PBE-GGA) of a relaxed structure of Sn3Pd2Rh.

Cell lengths 5.616, 5.962, 7.640 Å; angles 104.38, 111.14, 90.60 degrees
Space group P-1 (No. 2)
Symmetry-distinct sites (fractional):
Sn (0.061, 0.102, 0.329) (multiplicity 2)
Sn (0.267, 0.602, 0.327) (multiplicity 2)
Sn (0.403, 0.248, 0.002) (multiplicity 2)
Pd (0.242, 0.516, 0.656) (multiplicity 2)
Pd (0.415, 0.017, 0.658) (multiplicity 2)
Rh (0.070, 0.752, 0.000) (multiplicity 2)

Properties
Its total energy is -63.9 eV for the cell shown. The total moment comes out at 0.000 μB per atom.

=====

The following is a DFT calculation (PBE-GGA) of a relaxed structure of Sn4PdRh7.

Cell lengths 11.349, 4.793, 9.380 Å; angles 90.00, 122.00, 90.00 degrees
Space group C2/m (No. 12)
Symmetry-distinct sites (fractional):
Sn (0.082, 0.000, 0.275) (multiplicity 4)
Sn (0.236, 0.000, 0.824) (multiplicity 4)
Pd (0.000, 0.500, 0.500) (multiplicity 2)
Rh (0.000, 0.000, 0.500) (multiplicity 2)
Rh (0.079, 0.500, 0.835) (multiplicity 4)
Rh (0.138, 0.000, 0.036) (multiplicity 4)
Rh (0.204, 0.500, 0.407) (multiplicity 4)

Properties
Its total energy is -146.2 eV for the cell shown. The total moment comes out at 0.057 μB per atom.

=====

Number 1: DFT formation energy -0.258 eV/atom. Number 2: DFT formation energy -0.219 eV/atom. Number 3: DFT formation energy -0.364 eV/atom. Number 4: DFT formation energy -0.036 eV/atom.